1.
First-principles (GGA-PBE) data for a geometry-optimized Ti2Ga3 structure, as listed in Alexandria.

Values from the calculation:
symmetry = P4/m (83)
N(E_F) = 0.560 states/eV/atom
total moment = 0.00 μB per formula unit
crystal system = tetragonal
energy of formation = -0.460 eV per atom

The structure in POSCAR format:
```
Ti2Ga3
1.0
6.286 0.000 0.000
0.000 6.286 0.000
0.000 0.000 4.002
Ti Ga
4 6
direct
0.126 0.303 0.000
0.303 0.874 0.000
0.697 0.126 0.000
0.874 0.697 0.000
0.000 0.000 0.500
0.183 0.604 0.500
0.396 0.183 0.500
0.500 0.500 0.000
0.604 0.817 0.500
0.817 0.396 0.500
```



2.
First-principles (GGA-PBE) data for a geometry-optimized Ti8Ga3 structure, as listed in Alexandria.

Values from the calculation:
symmetry = R-3 (148)
N(E_F) = 0.882 states/eV/atom
total moment = 0.00 μB per formula unit
crystal system = trigonal
energy of formation = 0.151 eV per atom

The structure in POSCAR format:
```
Ti8Ga3
1.0
4.180 2.413 3.332
-4.180 2.413 3.332
0.000 -4.826 3.332
Ti Ga
8 3
direct
0.142 0.142 0.142
0.187 0.599 0.381
0.381 0.187 0.599
0.401 0.619 0.813
0.599 0.381 0.187
0.619 0.813 0.401
0.813 0.401 0.619
0.858 0.858 0.858
0.000 0.000 0.500
0.000 0.500 0.000
0.500 0.000 0.000
```



3.
First-principles (GGA-PBE) data for a geometry-optimized Ti4Ga5 structure, as listed in Alexandria.

Values from the calculation:
symmetry = I4/mmm (139)
N(E_F) = 0.853 states/eV/atom
total moment = 0.00 μB per formula unit
crystal system = tetragonal
energy of formation = -0.313 eV per atom

The structure in POSCAR format:
```
Ti4Ga5
1.0
-4.463 4.463 1.844
4.463 -4.463 1.844
4.463 4.463 -1.844
Ti Ga
4 5
direct
0.168 0.168 0.335
0.168 0.832 0.000
0.832 0.168 0.000
0.832 0.832 0.665
0.183 0.500 0.683
0.500 0.183 0.683
0.500 0.500 0.000
0.500 0.817 0.317
0.817 0.500 0.317
```



4.
First-principles (GGA-PBE) data for a geometry-optimized Ti13Ga2 structure, as listed in Alexandria.

Values from the calculation:
symmetry = R-3m (166)
N(E_F) = 1.341 states/eV/atom
total moment = 4.68 μB per formula unit
crystal system = trigonal
energy of formation = 0.385 eV per atom

The structure in POSCAR format:
```
Ti13Ga2
1.0
3.577 2.065 6.785
-3.577 2.065 6.785
0.000 -4.131 6.785
Ti Ga
13 2
direct
0.000 0.000 0.000
0.111 0.111 0.492
0.111 0.492 0.111
0.244 0.244 0.620
0.244 0.620 0.244
0.380 0.756 0.756
0.492 0.111 0.111
0.508 0.889 0.889
0.620 0.244 0.244
0.756 0.380 0.756
0.756 0.756 0.380
0.889 0.508 0.889
0.889 0.889 0.508
0.130 0.130 0.130
0.870 0.870 0.870
```



5.
First-principles (GGA-PBE) data for a geometry-optimized Ti4Ga structure, as listed in Alexandria.

Values from the calculation:
symmetry = Imma (74)
N(E_F) = 1.585 states/eV/atom
total moment = 0.00 μB per formula unit
crystal system = orthorhombic
distance to the lowest polymorph of the same formula = 0.000 kcal/mol of atoms
energy of formation = -0.171 eV per atom

The structure in POSCAR format:
```
Ti4Ga
1.0
-2.212 2.776 6.689
2.212 -2.776 6.689
2.212 2.776 -6.689
Ti Ga
8 2
direct
0.000 0.000 0.000
0.200 0.199 0.001
0.303 0.801 0.501
0.350 0.600 0.750
0.500 0.000 0.500
0.650 0.400 0.250
0.697 0.199 0.499
0.800 0.801 0.999
0.140 0.390 0.750
0.860 0.610 0.250
```



6.
First-principles (GGA-PBE) data for a geometry-optimized Ti3Ga4 structure, as listed in Alexandria.

Values from the calculation:
symmetry = C2/m (12)
N(E_F) = 0.867 states/eV/atom
total moment = 0.68 μB per formula unit
crystal system = monoclinic
energy of formation = -0.310 eV per atom

The structure in POSCAR format:
```
Ti3Ga4
1.0
4.769 -1.928 0.000
4.769 1.928 0.000
-0.968 0.000 12.503
Ti Ga
6 8
direct
0.080 0.080 0.263
0.302 0.302 0.093
0.403 0.403 0.367
0.597 0.597 0.633
0.698 0.698 0.907
0.920 0.920 0.737
0.000 0.000 0.000
0.000 0.000 0.500
0.200 0.200 0.755
0.310 0.310 0.574
0.403 0.403 0.888
0.597 0.597 0.112
0.690 0.690 0.426
0.800 0.800 0.245
```



7.
First-principles (GGA-PBE) data for a geometry-optimized Ti3Ga5 structure, as listed in Alexandria.

Values from the calculation:
symmetry = Pmmm (47)
N(E_F) = 0.747 states/eV/atom
total moment = 0.00 μB per formula unit
crystal system = orthorhombic
distance to the lowest polymorph of the same formula = 0.000 kcal/mol of atoms
energy of formation = -0.433 eV per atom

The structure in POSCAR format:
```
Ti3Ga5
1.0
3.877 0.000 0.000
0.000 4.003 0.000
0.000 0.000 8.148
Ti Ga
3 5
direct
0.000 0.000 0.000
0.500 0.000 0.269
0.500 0.000 0.731
0.000 0.000 0.500
0.000 0.500 0.234
0.000 0.500 0.766
0.500 0.500 0.000
0.500 0.500 0.500
```



8.
First-principles (GGA-PBE) data for a geometry-optimized Ti3Ga5 structure, as listed in Alexandria.

Values from the calculation:
symmetry = I4/mcm (140)
N(E_F) = 0.704 states/eV/atom
total moment = 0.00 μB per formula unit
crystal system = tetragonal
distance to the lowest polymorph of the same formula = 3.829 kcal/mol of atoms
energy of formation = -0.267 eV per atom

The structure in POSCAR format:
```
Ti3Ga5
1.0
-5.033 5.033 2.594
5.033 -5.033 2.594
5.033 5.033 -2.594
Ti Ga
6 10
direct
0.185 0.685 0.869
0.250 0.250 0.000
0.315 0.185 0.500
0.685 0.815 0.500
0.750 0.750 0.000
0.815 0.315 0.131
0.068 0.241 0.309
0.241 0.932 0.173
0.250 0.750 0.500
0.259 0.432 0.691
0.432 0.741 0.173
0.568 0.259 0.827
0.741 0.568 0.309
0.750 0.250 0.500
0.759 0.068 0.827
0.932 0.759 0.691
```



9.
First-principles (GGA-PBE) data for a geometry-optimized Ti4Ga structure, as listed in Alexandria.

Values from the calculation:
symmetry = I4_1/amd (141)
N(E_F) = 1.530 states/eV/atom
total moment = 0.00 μB per formula unit
crystal system = tetragonal
distance to the lowest polymorph of the same formula = 7.282 kcal/mol of atoms
energy of formation = 0.145 eV per atom

The structure in POSCAR format:
```
Ti4Ga
1.0
-3.885 3.885 3.073
3.885 -3.885 3.073
3.885 3.885 -3.073
Ti Ga
8 2
direct
0.237 0.299 0.561
0.237 0.676 0.939
0.299 0.237 0.061
0.324 0.763 0.561
0.676 0.237 0.439
0.701 0.763 0.939
0.763 0.324 0.061
0.763 0.701 0.439
0.125 0.875 0.250
0.875 0.125 0.750
```



10.
First-principles (GGA-PBE) data for a geometry-optimized Ti2Ga structure, as listed in Alexandria.

Values from the calculation:
symmetry = F-43m (216)
N(E_F) = 0.580 states/eV/atom
total moment = 3.06 μB per formula unit
crystal system = cubic
energy of formation = 0.427 eV per atom

The structure in POSCAR format:
```
Ti2Ga
1.0
0.000 3.116 3.116
3.116 0.000 3.116
3.116 3.116 0.000
Ti Ga
2 1
direct
0.000 0.000 0.000
0.250 0.250 0.250
0.500 0.500 0.500
```



11.
First-principles (GGA-PBE) data for a geometry-optimized Ti2Ga3 structure, as listed in Alexandria.

Values from the calculation:
symmetry = C2/m (12)
N(E_F) = 0.847 states/eV/atom
total moment = 0.46 μB per formula unit
crystal system = monoclinic
energy of formation = -0.339 eV per atom

The structure in POSCAR format:
```
Ti2Ga3
1.0
4.711 -1.824 0.000
4.711 1.824 0.000
-4.173 0.000 4.696
Ti Ga
2 3
direct
0.099 0.099 0.301
0.901 0.901 0.699
0.296 0.296 0.896
0.500 0.500 0.500
0.704 0.704 0.104
```



12.
First-principles (GGA-PBE) data for a geometry-optimized Ti7Ga3 structure, as listed in Alexandria.

Values from the calculation:
symmetry = C2/m (12)
N(E_F) = 1.315 states/eV/atom
total moment = 0.00 μB per formula unit
crystal system = monoclinic
energy of formation = -0.320 eV per atom

The structure in POSCAR format:
```
Ti7Ga3
1.0
7.305 -2.015 0.000
7.305 2.015 0.000
-1.352 0.000 5.522
Ti Ga
7 3
direct
0.000 0.000 0.000
0.203 0.203 0.607
0.393 0.393 0.191
0.409 0.409 0.693
0.591 0.591 0.307
0.607 0.607 0.809
0.797 0.797 0.393
0.000 0.000 0.500
0.194 0.194 0.115
0.806 0.806 0.885
```